20
Lattice="-4.357 -1.332 2.006 4.223 -2.769 7.330 -1.521 8.459 2.314" Properties=species:S:1:pos:R:3 comment="Pd6Pb3Au | Alexandria | PBE | relaxed" total_magnetization_mub_per_atom=0.000 final_energy_ev_per_atom=-4.686 spacegroup="Cmc2_1, No. 36" pbc="T T T"
Pd 1.788 2.843 6.410
Pd -1.045 3.457 6.841
Pd -0.932 6.213 7.435
Pd -0.751 0.936 10.498
Pd 3.086 -2.471 7.472
Pd -2.843 4.680 4.913
Pd 2.094 -0.046 6.319
Pd -4.264 6.974 3.958
Pd -2.487 2.936 1.881
Pd -2.307 -2.340 4.944
Pd 1.117 1.429 4.013
Pd -1.716 2.043 4.445
Pb 0.711 2.798 9.023
Pb -2.585 4.317 9.050
Pb 0.147 4.169 4.378
Pb -0.534 0.576 6.688
Pb -4.153 1.013 3.450
Pb -0.857 -0.506 3.423
Au -1.347 6.510 3.415
Au 0.447 -1.922 7.887